# MgZn5Rh6

Crystalline MgZn5Rh6 at its relaxed geometry (PBE-GGA, Alexandria via LeMat-Bulk).

a = 4.2943 Å, b = 6.0839 Å, c = 7.4374 Å
α = 114.14°, β = 106.78°, γ = 90.00°
Positions (direct):
Rh: 0.5000 0.2583 0.0000
Rh: 0.1696 0.4239 0.3391
Rh: 0.5000 0.7417 0.0000
Rh: 0.8304 0.5761 0.6609
Rh: 0.8304 0.0848 0.6609
Rh: 0.1696 0.9152 0.3391
Zn: 0.3373 0.8373 0.6746
Zn: 0.6627 0.1627 0.3254
Zn: 0.6675 0.6675 0.3350
Zn: 0.3325 0.3325 0.6650
Zn: 0.0000 0.5000 0.0000
Mg: 0.0000 0.0000 0.0000

Values from the calculation:
Final energy: -0.348 Ry/atom